1.
# Tl3VBr6

A relaxed Tl3VBr6 crystal (GGA-PBE, Alexandria via LeMat-Bulk).

Computed properties:
The uncorrected formation energy comes out at -837 meV/atom. The calculation puts the theoretical density at 5.44 g cm⁻³.

Geometry as CIF:
```
data_Tl3VBr6
_space_group_name_H-M_alt 'C 1 2/m 1'
_space_group_IT_number 12
_cell_length_a 13.075
_cell_length_b 7.702
_cell_length_c 8.129
_cell_angle_alpha 90.00
_cell_angle_beta 121.40
_cell_angle_gamma 90.00
loop_
_space_group_symop_operation_xyz
'x,y,z'
'-x,-y,-z'
'-x,y,-z'
'x,-y,z'
'x+1/2,y+1/2,z'
'-x+1/2,-y+1/2,-z'
'-x+1/2,y+1/2,-z'
'x+1/2,-y+1/2,z'
loop_
_atom_site_label
_atom_site_type_symbol
_atom_site_fract_x
_atom_site_fract_y
_atom_site_fract_z
Tl1 Tl 0.000 0.000 0.000
Tl2 Tl 0.239 0.000 0.718
V1 V 0.000 0.500 0.500
Br1 Br 0.070 0.266 0.356
Br2 Br 0.206 0.500 0.811
```

2.
# TlV2Br

A relaxed TlV2Br crystal (GGA-PBE, Alexandria via LeMat-Bulk).

Computed properties:
The uncorrected formation energy comes out at 802 meV/atom. The calculation puts the theoretical density at 6.64 g cm⁻³.

Geometry as CIF:
```
data_TlV2Br
_space_group_name_H-M_alt 'I -4 2 d'
_space_group_IT_number 122
_space_group_name_Hall 'I -4 2bw'
_cell_length_a 4.691
_cell_length_b 4.691
_cell_length_c 17.560
_cell_angle_alpha 90.00
_cell_angle_beta 90.00
_cell_angle_gamma 90.00
loop_
_atom_site_label
_atom_site_type_symbol
_atom_site_fract_x
_atom_site_fract_y
_atom_site_fract_z
Tl1 Tl 0.000 0.000 0.000
V1 V 0.191 0.250 0.625
Br1 Br 0.000 0.000 0.500
```

3.
# Tl6VBr12

A relaxed Tl6VBr12 crystal (GGA-PBE, Alexandria via LeMat-Bulk).

Computed properties:
The uncorrected formation energy comes out at -704 meV/atom. The calculation puts the theoretical density at 5.06 g cm⁻³.

Geometry as CIF:
```
data_Tl6VBr12
_space_group_name_H-M_alt 'R -3'
_space_group_IT_number 148
_space_group_name_Hall '-R 3'
_cell_length_a 12.9697
_cell_length_b 12.9697
_cell_length_c 15.1047
_cell_angle_alpha 90.00
_cell_angle_beta 90.00
_cell_angle_gamma 120.00
loop_
_atom_site_label
_atom_site_type_symbol
_atom_site_fract_x
_atom_site_fract_y
_atom_site_fract_z
Tl1 Tl 0.0449 0.2851 0.1027
V1 V 0.0000 0.0000 0.5000
Br1 Br 0.0327 0.2188 0.8956
Br2 Br 0.0888 0.9090 0.4058
```

no.,spin magnetization (μB per formula unit)
1,2.00
2,6.84
3,0.00